# La2Mn2Se2S3

A geometry-optimized La2Mn2Se2S3 structure (PBE-GGA, the Alexandria database).

a b c (Å): 4.692 4.692 10.194
angles (deg): 103.30 103.30 90.00
Fractional coordinates of all 9 atoms:
Mn 0.000 0.500 0.000
Mn 0.500 0.000 0.000
La 0.829 0.829 0.659
S 0.000 0.000 0.000
S 0.750 0.250 0.500
Se 0.409 0.409 0.818
S 0.250 0.750 0.500
Se 0.591 0.591 0.182
La 0.171 0.171 0.341

Computed properties:
D(E_F): 1.9 states/eV/cell
electronic total energy: -6.513 eV/atom
E_form (uncorrected): -1.231 eV per atom